1.
This record from Alexandria via LeMat-Bulk describes crystalline In2FeMo2 at its relaxed geometry. The functional is GGA-PBE.

Structure (POSCAR):
```
In2FeMo2
1.0
3.320 6.660 2.558
-0.351 7.821 -0.791
-3.182 -7.125 1.018
In Fe Mo
2 1 2
Direct
0.595 0.595 0.000
0.405 0.405 0.000
0.000 0.000 0.000
0.250 0.750 0.500
0.750 0.250 0.500
```

- Calculated density: 8.18 g/cm³
- Space-group type: I4/mmm
- Raw total energy: -6.42 eV per atom
- ΔH_f (0 K): 0.70 eV per atom

2.
This record from Alexandria via LeMat-Bulk describes crystalline NpCd2Au8 at its relaxed geometry. The functional is GGA-PBE.

Structure (POSCAR):
```
NpCd2Au8
1.0
4.174 -0.005 -1.201
-0.660 6.356 -2.273
0.006 0.591 7.898
Np Au Cd
1 8 2
Direct
0.500 0.000 0.000
0.595 0.464 0.192
0.316 0.088 0.633
0.140 0.195 0.279
0.042 0.722 0.086
0.860 0.805 0.721
0.684 0.912 0.367
0.405 0.536 0.808
0.958 0.278 0.914
0.224 0.648 0.450
0.776 0.352 0.550
```

- Calculated density: 15.69 g/cm³
- Space-group type: P-1
- Raw total energy: -3.85 eV per atom
- ΔH_f (0 K): -0.12 eV per atom

3.
This record from Alexandria via LeMat-Bulk describes crystalline GaSi2IrW at its relaxed geometry. The functional is GGA-PBE.

Structure (POSCAR):
```
GaSi2IrW
1.0
4.588 0.000 0.000
0.000 4.775 0.000
0.000 0.000 4.588
Si Ir Ga W
2 1 1 1
Direct
0.000 0.000 0.500
0.500 0.000 0.000
0.000 0.000 0.000
0.000 0.500 0.000
0.500 0.500 0.500
```

- Calculated density: 8.29 g/cm³
- Space-group type: P4/mmm
- Raw total energy: -6.04 eV per atom
- Formation energy (no corrections): 1.1007 eV per atom

4.
This record from Alexandria via LeMat-Bulk describes crystalline Cd2AgP2 at its relaxed geometry. The functional is GGA-PBE.

Structure (POSCAR):
```
Cd2AgP2
1.0
-0.213 0.992 -7.170
-7.015 -1.799 -0.040
-0.950 3.690 0.539
P Ag Cd
4 2 4
Direct
0.325 0.825 0.000
0.825 0.675 0.000
0.675 0.175 0.000
0.175 0.325 0.000
0.000 0.000 0.000
0.500 0.500 0.000
0.142 0.642 0.500
0.642 0.858 0.500
0.858 0.358 0.500
0.358 0.142 0.500
```

- Calculated density: 6.49 g/cm³
- Space-group type: P4/mbm
- Raw total energy: -2.83 eV per atom
- ΔH_f (0 K): 0.27 eV per atom

Please write out number 4 again, unchanged.
This record from Alexandria via LeMat-Bulk describes crystalline Cd2AgP2 at its relaxed geometry. The functional is GGA-PBE.

Structure (POSCAR):
```
Cd2AgP2
1.0
-0.213 0.992 -7.170
-7.015 -1.799 -0.040
-0.950 3.690 0.539
P Ag Cd
4 2 4
Direct
0.325 0.825 0.000
0.825 0.675 0.000
0.675 0.175 0.000
0.175 0.325 0.000
0.000 0.000 0.000
0.500 0.500 0.000
0.142 0.642 0.500
0.642 0.858 0.500
0.858 0.358 0.500
0.358 0.142 0.500
```

- Calculated density: 6.49 g/cm³
- Space-group type: P4/mbm
- Raw total energy: -2.83 eV per atom
- ΔH_f (0 K): 0.27 eV per atom

Which of these has the lowest calculated density?
Cd2AgP2